Entry 1:
Material: TiTcSbMo
Method: DFT, PBE-GGA
State: relaxed

Properties
Spin magnetization (Bohr magnetons per cell): 0.00
Space-group type: F-43m, No. 216
E_form (uncorrected) (eV/f.u.): -0.60
Crystal system: cubic
DOS(E_F) (states/eV/atom): 1.000

```
16
Lattice="6.399 0.000 0.000 0.000 6.399 0.000 0.000 0.000 6.399" Properties=species:S:1:pos:R:3 pbc="T T T"
Ti 0.000 0.000 0.000
Ti 0.000 3.200 3.200
Ti 3.200 0.000 3.200
Ti 3.200 3.200 0.000
Tc 1.600 1.600 4.799
Tc 1.600 4.799 1.600
Tc 4.799 1.600 1.600
Tc 4.799 4.799 4.799
Sb 0.000 0.000 3.200
Sb 0.000 3.200 0.000
Sb 3.200 0.000 0.000
Sb 3.200 3.200 3.200
Mo 1.600 1.600 1.600
Mo 1.600 4.799 4.799
Mo 4.799 1.600 4.799
Mo 4.799 4.799 1.600
```



Entry 2:
Material: LaTc4P4
Method: DFT, PBE-GGA
State: relaxed

Properties
Spin magnetization (Bohr magnetons per cell): 0.00
Space-group type: P4_2/n, No. 86
Crystal system: tetragonal
DOS(E_F) (states/eV/atom): 0.663
Formation energy (eV/f.u.): -5.43

```
18
Lattice="8.390 0.000 0.000 0.000 8.390 0.000 0.000 0.000 4.326" Properties=species:S:1:pos:R:3 pbc="T T T"
La 2.098 2.098 1.081
La 6.293 6.293 3.244
Tc 0.822 5.289 0.701
Tc 1.094 7.568 2.863
Tc 3.101 5.017 2.863
Tc 3.373 7.296 0.701
Tc 5.017 1.094 3.625
Tc 5.289 3.373 1.462
Tc 7.296 0.822 1.462
Tc 7.568 3.101 3.625
P 0.174 7.435 0.710
P 0.955 4.369 2.873
P 3.240 8.217 2.873
P 4.022 5.150 0.710
P 4.369 3.240 3.616
P 5.150 0.174 1.453
P 7.435 4.022 1.453
P 8.217 0.955 3.616
```



Entry 3:
Material: AgHPd3
Method: DFT, PBE-GGA
State: relaxed

Properties
Spin magnetization (Bohr magnetons per cell): 0.00
Space-group type: P4mm, No. 99
Offset from the most stable computed form (eV per formula unit): 2.56
Crystal system: tetragonal
DOS(E_F) (states/eV/atom): 0.729

```
5
Lattice="3.796 0.000 0.000 0.000 3.796 0.000 0.000 0.000 6.640" Properties=species:S:1:pos:R:3 pbc="T T T"
Ag 0.000 0.000 0.000
H 1.898 1.898 2.018
Pd 0.000 0.000 3.992
Pd 0.000 1.898 2.060
Pd 1.898 0.000 2.060
```



Entry 4:
Material: CeGa4Pt12
Method: DFT, PBE-GGA
State: relaxed

Properties
Spin magnetization (Bohr magnetons per cell): 0.25
Space-group type: Im-3, No. 204
Crystal system: cubic
DOS(E_F) (states/eV/atom): 0.692
Formation energy (eV/f.u.): -2.85

```
17
Lattice="-4.294 4.294 4.294 4.294 -4.294 4.294 4.294 4.294 -4.294" Properties=species:S:1:pos:R:3 pbc="T T T"
Ce 0.000 0.000 0.000
Ga 2.147 2.147 -2.147
Ga 2.147 -2.147 2.147
Ga -2.147 2.147 2.147
Ga 2.147 2.147 2.147
Pt 2.965 1.309 0.000
Pt 5.623 1.309 0.000
Pt 4.294 -1.329 2.985
Pt 2.985 4.294 -1.329
Pt 1.309 0.000 2.965
Pt 0.000 2.965 1.309
Pt 4.294 1.329 2.985
Pt 2.985 4.294 1.329
Pt 1.309 0.000 5.623
Pt 0.000 5.623 1.309
Pt -1.329 2.985 4.294
Pt 1.329 2.985 4.294
```



Entry 5:
Material: CePrHo2Er4
Method: DFT, PBE-GGA
State: relaxed

Properties
Spin magnetization (Bohr magnetons per cell): 1.03
Space-group type: Pmmm, No. 47
Crystal system: orthorhombic
DOS(E_F) (states/eV/atom): 1.653
Formation energy (eV/f.u.): 0.40

```
8
Lattice="5.019 0.000 0.000 0.000 5.037 0.000 0.000 0.000 9.934" Properties=species:S:1:pos:R:3 pbc="T T T"
Ce 0.000 0.000 0.000
Pr 2.510 2.518 4.967
Ho 0.000 0.000 4.967
Ho 2.510 2.518 0.000
Er 0.000 2.518 2.440
Er 0.000 2.518 7.494
Er 2.510 0.000 2.444
Er 2.510 0.000 7.490
```



Entry 6:
Material: LiAcPb
Method: DFT, PBE-GGA
State: relaxed

Properties
Spin magnetization (Bohr magnetons per cell): 0.00
Space-group type: C2/m, No. 12
Offset from the most stable computed form (eV per formula unit): 0.62
Crystal system: monoclinic
DOS(E_F) (states/eV/atom): 0.479
Formation energy (eV/f.u.): -0.96

```
12
Lattice="12.310 0.000 0.000 0.000 4.934 0.000 -3.986 0.000 5.849" Properties=species:S:1:pos:R:3 pbc="T T T"
Li 1.246 0.000 0.146
Li 0.923 2.467 5.703
Li 7.401 2.467 0.146
Li 7.078 0.000 5.703
Ac -0.296 0.000 3.682
Ac 2.465 2.467 2.167
Ac 5.859 2.467 3.682
Ac 8.620 0.000 2.167
Pb -2.888 2.467 4.517
Pb 5.056 0.000 1.332
Pb 3.267 0.000 4.517
Pb 11.211 2.467 1.332
```



Entry 7:
Material: RePt2Se
Method: DFT, PBE-GGA
State: relaxed

Properties
Spin magnetization (Bohr magnetons per cell): 0.00
Space-group type: Cm, No. 8
E_form (uncorrected) (eV/f.u.): 0.67
Crystal system: monoclinic
DOS(E_F) (states/eV/atom): 0.506

```
8
Lattice="8.568 0.000 0.000 0.000 2.897 0.000 -2.079 0.000 6.070" Properties=species:S:1:pos:R:3 pbc="T T T"
Re 0.000 0.000 0.000
Re 4.284 1.449 0.000
Pt 0.259 0.000 5.109
Pt 2.606 0.000 3.670
Pt 4.543 1.449 5.109
Pt 6.889 1.449 3.670
Se 0.207 1.449 1.952
Se 4.491 0.000 1.952
```



Entry 8:
Material: NaLuGe2
Method: DFT, PBE-GGA
State: relaxed

Properties
Spin magnetization (Bohr magnetons per cell): 0.00
Space-group type: P4/mmm, No. 123
Offset from the most stable computed form (eV per formula unit): 0.00
Crystal system: tetragonal
DOS(E_F) (states/eV/atom): 0.419
Formation energy (eV/f.u.): -1.34

```
4
Lattice="3.753 0.000 0.000 0.000 3.753 0.000 0.000 0.000 6.862" Properties=species:S:1:pos:R:3 pbc="T T T"
Na 0.000 0.000 0.000
Lu 0.000 0.000 3.431
Ge 1.877 1.877 2.123
Ge 1.877 1.877 4.739
```